This record from the Alexandria database describes a relaxed Re2SiAg crystal. The functional is PBE-GGA.

- E: -31.5 eV for the cell shown
- Fermi-level density of states: 2.053 states/eV per cell
- Crystal system: orthorhombic

Structure (CIF):
```
data_Re2SiAg
_symmetry_space_group_name_H-M 'P 1'
_symmetry_Int_Tables_number 1
_symmetry_space_group_name_Hall 'P 1'
_cell_length_a 5.155
_cell_length_b 5.155
_cell_length_c 5.155
_cell_angle_alpha 145.95
_cell_angle_beta 129.18
_cell_angle_gamma 62.59
loop_
_atom_site_label
_atom_site_type_symbol
_atom_site_fract_x
_atom_site_fract_y
_atom_site_fract_z
Re1 Re 0.000 0.000 0.000
Re2 Re 0.741 0.241 0.500
Si1 Si 0.222 0.722 0.500
Ag1 Ag 0.461 0.461 0.000
```